[1]
Compound: Rb2CaH6Rh
Source: Alexandria via LeMat-Bulk
Functional: PBE-GGA
Structure: relaxed

Results
DOS(E_F)	2.2	states/eV/f.u.
VASP energy	-3.47	eV per atom
SG	P-3m1, No. 164

abc: 5.812 6.210 6.210
angles: 120.00 90.00 90.00
Each line ends with the local moment (μB).
Positions (direct):
H (0.171, 0.872, 0.128)  0.00
Ca (0.500, 0.000, 0.000)  0.07
H (0.171, 0.256, 0.128)  0.00
H (0.829, 0.744, 0.872)  0.00
Rb (0.860, 0.667, 0.333)  0.02
H (0.829, 0.128, 0.256)  0.00
H (0.829, 0.128, 0.872)  0.00
Rb (0.140, 0.333, 0.667)  0.02
H (0.171, 0.872, 0.744)  0.00
Rh (0.000, 0.000, 0.000)  0.12



[2]
Compound: RbCaH2Se
Source: Alexandria via LeMat-Bulk
Functional: PBE-GGA
Structure: relaxed

Results
DOS(E_F)	2.2	states/eV/f.u.
VASP energy	-2.28	eV per atom
SG	P4/mmm, No. 123

abc: 5.385 5.193 5.385
angles: 90.00 90.00 90.00
Positions (direct):
Se (0.000, 0.000, 0.000)
H (0.500, 0.000, 0.000)
Ca (0.000, 0.500, 0.000)
H (0.000, 0.000, 0.500)
Rb (0.500, 0.500, 0.500)



[3]
Compound: RbSr2CaH
Source: Alexandria via LeMat-Bulk
Functional: PBE-GGA
Structure: relaxed

Results
DOS(E_F)	3.7	states/eV/f.u.
VASP energy	-1.91	eV per atom
SG	P4/mmm, No. 123

abc: 5.719 5.719 6.275
angles: 90.00 90.00 90.00
Positions (direct):
Sr (0.500, 0.000, 0.000)
Rb (0.000, 0.000, 0.500)
Ca (0.500, 0.500, 0.500)
H (0.000, 0.000, 0.000)
Sr (0.000, 0.500, 0.000)



[4]
Compound: RbCa2HW
Source: Alexandria via LeMat-Bulk
Functional: PBE-GGA
Structure: relaxed

Results
DOS(E_F)	3.0	states/eV/f.u.
VASP energy	-3.24	eV per atom
SG	P4/mmm, No. 123

abc: 6.160 3.647 6.160
angles: 90.00 90.00 90.00
Each line ends with the local moment (μB).
Positions (direct):
H (0.000, 0.500, 0.000)  0.00
Ca (0.000, 0.000, 0.500)  0.00
Rb (0.500, 0.500, 0.500)  -0.01
W (0.000, 0.000, 0.000)  0.21
Ca (0.500, 0.000, 0.000)  -0.01



[5]
Compound: RbCaZn2H6
Source: Alexandria via LeMat-Bulk
Functional: PBE-GGA
Structure: relaxed

Results
DOS(E_F)	0.8	states/eV/f.u.
VASP energy	-2.71	eV per atom
SG	C2/c, No. 15

abc: 6.765 6.765 6.449
angles: 100.57 100.57 105.07
Positions (direct):
Zn (0.913, 0.736, 0.705)
Zn (0.087, 0.264, 0.295)
H (0.594, 0.078, 0.272)
H (0.845, 0.815, 0.436)
H (0.185, 0.155, 0.064)
H (0.480, 0.318, 0.888)
H (0.078, 0.594, 0.772)
Zn (0.736, 0.913, 0.205)
H (0.318, 0.480, 0.388)
H (0.406, 0.922, 0.728)
H (0.922, 0.406, 0.228)
H (0.682, 0.520, 0.612)
Zn (0.264, 0.087, 0.795)
Ca (0.412, 0.588, 0.750)
H (0.155, 0.185, 0.564)
Rb (0.806, 0.194, 0.750)
Ca (0.588, 0.412, 0.250)
H (0.520, 0.682, 0.112)
Rb (0.194, 0.806, 0.250)
H (0.815, 0.845, 0.936)



[6]
Compound: RbCa2ZnH
Source: Alexandria via LeMat-Bulk
Functional: PBE-GGA
Structure: relaxed

Results
DOS(E_F)	3.5	states/eV/f.u.
VASP energy	-1.47	eV per atom
SG	P4/mmm, No. 123

abc: 5.741 6.679 5.741
angles: 90.00 90.00 90.00
Positions (direct):
Ca (0.000, 0.000, 0.500)
H (0.500, 0.500, 0.500)
Ca (0.500, 0.000, 0.000)
Rb (0.000, 0.500, 0.000)
Zn (0.000, 0.000, 0.000)